No. 1
Density functional theory data (GGA-PBEsol) for AlTeIN2 after structural relaxation.

Results
The space group is P4/mmm, No. 123.

Cell: 4.090 4.090 6.565 Å, 90.00 90.00 90.00°
Element x y z (fractional)
Te (0.000, 0.000, 0.000)
N (0.000, 0.500, 0.000)
N (0.500, 0.000, 0.000)
I (0.000, 0.000, 0.500)
Al (0.500, 0.500, 0.500)

---

No. 2
Density functional theory data (GGA-PBEsol) for TiAlIN2 after structural relaxation.

Results
The space group is P4/mmm, No. 123.

Cell: 3.958 3.958 5.555 Å, 90.00 90.00 90.00°
Element x y z (fractional)
I (0.000, 0.000, 0.500)
N (0.000, 0.500, 0.000)
N (0.500, 0.000, 0.000)
Ti (0.000, 0.000, 0.000)
Al (0.500, 0.500, 0.500)

---

No. 3
Density functional theory data (GGA-PBEsol) for AlWIN2 after structural relaxation.

Results
The space group is P4/mmm, No. 123.

Cell: 3.983 3.983 5.581 Å, 90.00 90.00 90.00°
Element x y z (fractional)
N (0.500, 0.000, 0.000)
N (0.000, 0.500, 0.000)
I (0.000, 0.000, 0.500)
Al (0.500, 0.500, 0.500)
W (0.000, 0.000, 0.000)

---

No. 4
Density functional theory data (GGA-PBEsol) for Al2ZnIN after structural relaxation.

Results
The space group is P4/mmm, No. 123.

Cell: 3.827 3.827 6.853 Å, 90.00 90.00 90.00°
Element x y z (fractional)
Al (0.500, 0.000, 0.000)
Al (0.000, 0.500, 0.000)
N (0.000, 0.000, 0.000)
I (0.000, 0.000, 0.500)
Zn (0.500, 0.500, 0.500)

---

No. 5
Density functional theory data (GGA-PBEsol) for NaAl2I after structural relaxation.

Results
The space group is Fm-3m, No. 225.

Cell: 5.372 5.372 5.372 Å, 60.00 60.00 60.00°
Element x y z (fractional)
Al (0.750, 0.750, 0.750)
Al (0.250, 0.250, 0.250)
Na (0.000, 0.000, 0.000)
I (0.500, 0.500, 0.500)

---

No. 6
Density functional theory data (GGA-PBEsol) for Na4Al3Si3IO12 after structural relaxation.

Results
The space group is P-43n, No. 218.

Cell: 9.031 9.031 9.031 Å, 90.00 90.00 90.00°
Element x y z (fractional)
O (0.651, 0.946, 0.642)
O (0.946, 0.642, 0.651)
O (0.858, 0.446, 0.849)
O (0.054, 0.358, 0.651)
O (0.349, 0.946, 0.358)
O (0.151, 0.142, 0.446)
O (0.151, 0.858, 0.554)
O (0.642, 0.349, 0.054)
O (0.349, 0.054, 0.642)
O (0.651, 0.054, 0.358)
O (0.142, 0.554, 0.849)
O (0.142, 0.446, 0.151)
O (0.358, 0.349, 0.946)
O (0.446, 0.151, 0.142)
O (0.446, 0.849, 0.858)
O (0.554, 0.849, 0.142)
O (0.946, 0.358, 0.349)
O (0.849, 0.142, 0.554)
O (0.642, 0.651, 0.946)
O (0.054, 0.642, 0.349)
O (0.849, 0.858, 0.446)
O (0.858, 0.554, 0.151)
O (0.554, 0.151, 0.858)
O (0.358, 0.651, 0.054)
Si (0.000, 0.500, 0.250)
Si (0.250, 0.000, 0.500)
Si (0.500, 0.250, 0.000)
Si (0.500, 0.750, 0.000)
Si (0.000, 0.500, 0.750)
Si (0.750, 0.000, 0.500)
Na (0.197, 0.197, 0.197)
Na (0.697, 0.697, 0.697)
Na (0.303, 0.697, 0.303)
Na (0.803, 0.803, 0.197)
Na (0.197, 0.803, 0.803)
Na (0.697, 0.303, 0.303)
Na (0.303, 0.303, 0.697)
Na (0.803, 0.197, 0.803)
Al (0.250, 0.500, 0.000)
Al (0.000, 0.250, 0.500)
Al (0.000, 0.750, 0.500)
Al (0.500, 0.000, 0.250)
Al (0.500, 0.000, 0.750)
Al (0.750, 0.500, 0.000)
I (0.500, 0.500, 0.500)
I (0.000, 0.000, 0.000)

---

No. 7
Density functional theory data (GGA-PBEsol) for NaAlTeI2 after structural relaxation.

Results
The space group is P4/mmm, No. 123.

Cell: 5.346 5.639 5.639 Å, 90.00 90.00 90.00°
Element x y z (fractional)
Na (0.500, 0.500, 0.500)
Al (0.000, 0.000, 0.000)
Te (0.500, 0.000, 0.000)
I (0.000, 0.500, 0.000)
I (0.000, 0.000, 0.500)

---

No. 8
Density functional theory data (GGA-PBEsol) for Nb2AlI after structural relaxation.

Results
The space group is I-42d, No. 122.

Cell: 4.072 4.072 10.141 Å, 101.58 101.58 90.00°
Element x y z (fractional)
Nb (0.868, 0.375, 0.250)
Nb (0.382, 0.875, 0.250)
Nb (0.125, 0.132, 0.750)
Nb (0.625, 0.618, 0.750)
Al (0.500, 0.500, 0.000)
Al (0.750, 0.250, 0.500)
I (0.250, 0.750, 0.500)
I (0.000, 0.000, 0.000)

---

No. 9
Density functional theory data (GGA-PBEsol) for NbAlI2 after structural relaxation.

Results
The space group is I-42d, No. 122.

Cell: 5.331 7.408 7.408 Å, 82.56 68.91 68.91°
Element x y z (fractional)
I (0.375, 0.640, 0.860)
I (0.765, 0.860, 0.360)
I (0.985, 0.140, 0.640)
I (0.875, 0.360, 0.140)
Al (0.250, 0.500, 0.500)
Al (0.500, 0.000, 0.000)
Nb (0.750, 0.500, 0.500)
Nb (0.000, 0.000, 0.000)

---

No. 10
Density functional theory data (GGA-PBEsol) for NbAl3I after structural relaxation.

Results
The space group is Pm-3m, No. 221.

Cell: 5.124 5.124 5.124 Å, 90.00 90.00 90.00°
Element x y z (fractional)
I (0.000, 0.000, 0.000)
Nb (0.500, 0.500, 0.500)
Al (0.000, 0.500, 0.000)
Al (0.500, 0.000, 0.000)
Al (0.000, 0.000, 0.500)

---

No. 11
Density functional theory data (GGA-PBEsol) for NbAlTe2I after structural relaxation.

Results
The space group is P4/mmm, No. 123.

Cell: 5.362 5.362 5.603 Å, 90.00 90.00 90.00°
Element x y z (fractional)
Te (0.500, 0.000, 0.000)
Te (0.000, 0.500, 0.000)
Nb (0.000, 0.000, 0.000)
I (0.000, 0.000, 0.500)
Al (0.500, 0.500, 0.500)

---

No. 12
Density functional theory data (GGA-PBEsol) for AlNi3I after structural relaxation.

Results
The space group is Pm-3m, No. 221.

Cell: 4.342 4.342 4.342 Å, 90.00 90.00 90.00°
Element x y z (fractional)
Ni (0.000, 0.500, 0.000)
Ni (0.000, 0.000, 0.500)
Ni (0.500, 0.000, 0.000)
Al (0.000, 0.000, 0.000)
I (0.500, 0.500, 0.500)

---

Computed values of raw formation energy (unit: eV per atom) for the preceding records, in sequence: 1.32; 0.36; 0.58; 0.19; 0.47; -2.64; -0.43; 0.57; 0.31; 1.76; 0.24; 0.74.
Computed values of N(E_F) (unit: states/eV/f.u.) for the preceding records, in sequence: 3.23; 2.32; 3.36; 2.03; 4.28; 0.00; 2.27; 2.47; 2.78; 6.15; 3.34; 0.85.